A plane-wave DFT calculation with PBE-GGA was carried out for a relaxed CeEuGa2 crystal.

Unit cell a=7.379 b=7.379 c=7.379 alpha=90.00 beta=90.00 gamma=90.00
Space group Fm-3m (No. 225)
Unique sites:
1 Ce 0.000 0.000 0.000 x4
2 Eu 0.000 0.000 0.500 x4
3 Ga 0.250 0.250 0.250 x8

VASP energy	-5.9991	eV per atom
relative energy among the computed polymorphs	19	meV per atom

---

A plane-wave DFT calculation with PBE-GGA was carried out for a relaxed InSn3Rh6 crystal.

Unit cell a=7.987 b=4.534 c=10.076 alpha=90.00 beta=113.05 gamma=90.00
Space group P2_1/m (No. 11)
Unique sites:
1 In 0.045 0.250 0.417 x2
2 Sn 0.198 0.250 0.025 x2
3 Sn 0.368 0.750 0.804 x2
4 Sn 0.483 0.250 0.626 x2
5 Rh 0.067 0.750 0.867 x2
6 Rh 0.149 0.750 0.188 x2
7 Rh 0.168 0.250 0.714 x2
8 Rh 0.268 0.750 0.514 x2
9 Rh 0.320 0.250 0.333 x2
10 Rh 0.434 0.750 0.082 x2

VASP energy	-6.2093	eV per atom

---

Number 1: formation energy from the elements -0.434 eV/atom, DOS(E_F) 33.83 states/eV/cell, calculated volume 401.7 Å³ per cell. Number 2: formation energy from the elements -0.324 eV/atom, DOS(E_F) 11.66 states/eV/cell, calculated volume 335.7 Å³ per cell.